Entry from the Alexandria database: Al5Ag3 at its PBEsol-relaxed geometry (meta-GGA SCAN).

a = 2.847 Å, b = 2.847 Å, c = 16.011 Å
α = 90.00°, β = 90.00°, γ = 90.00°
Atoms (fractional coordinates):
Al 0.000 0.000 0.000
Al 0.000 0.000 0.250
Al 0.000 0.000 0.750
Al 0.500 0.500 0.125
Al 0.500 0.500 0.875
Ag 0.000 0.000 0.500
Ag 0.500 0.500 0.369
Ag 0.500 0.500 0.631

Calculated values
* DFT formation energy: -0.024 eV per atom
* V: 16.2 A^3/atom
* energy: -133.0 eV/cell